1.
{"formula": "Ho3Al4Ag2", "functional": "PBE", "state": "relaxed", "lattice": [[5.3412, -2.3025, 0.0000], [5.3412, 2.3025, 0.0000], [-3.6797, 0.0000, 7.8281]], "species": ["Ho", "Ho", "Ho", "Al", "Al", "Al", "Al", "Ag", "Ag"], "fractional_positions": [[0.0000, 0.0000, 0.0000], [0.3274, 0.3274, 0.3423], [0.6726, 0.6726, 0.6577], [0.0300, 0.0300, 0.3668], [0.2619, 0.2619, 0.9266], [0.7381, 0.7381, 0.0734], [0.9700, 0.9700, 0.6332], [0.3998, 0.3998, 0.7313], [0.6002, 0.6002, 0.2687]], "space_group": "C2/m", "n_ef_per_ev_cell": 4.26, "energy_ev_per_atom": -4.264, "m_tot_mub_per_fu": 0.000}

2.
{"formula": "NdIn3", "functional": "PBE", "state": "relaxed", "lattice": [[4.6021, 0.0000, 0.0000], [0.0000, 4.6021, 0.0000], [0.0000, 0.0000, 10.1534]], "species": ["Nd", "Nd", "In", "In", "In", "In", "In", "In"], "fractional_positions": [[0.0000, 0.0000, 0.0000], [0.5000, 0.5000, 0.5000], [0.0000, 0.0000, 0.5000], [0.0000, 0.5000, 0.2500], [0.0000, 0.5000, 0.7500], [0.5000, 0.0000, 0.2500], [0.5000, 0.0000, 0.7500], [0.5000, 0.5000, 0.0000]], "space_group": "I4/mmm", "n_ef_per_ev_cell": 6.72, "energy_ev_per_atom": -3.615, "m_tot_mub_per_fu": 0.000}

3.
{"formula": "Tb2HoOsC2", "functional": "PBE", "state": "relaxed", "lattice": [[5.5833, 0.0000, 0.0000], [0.0000, 11.0323, 0.0000], [0.0000, 0.0000, 3.7224]], "species": ["Tb", "Tb", "Tb", "Tb", "Ho", "Ho", "Os", "Os", "C", "C", "C", "C"], "fractional_positions": [[0.0483, 0.2071, 0.0000], [0.4517, 0.7071, 0.5000], [0.5483, 0.2929, 0.5000], [0.9517, 0.7929, 0.0000], [0.0000, 0.5000, 0.5000], [0.5000, 0.0000, 0.0000], [0.0000, 0.0000, 0.5000], [0.5000, 0.5000, 0.0000], [0.2274, 0.6166, 0.0000], [0.2726, 0.1166, 0.5000], [0.7274, 0.8834, 0.5000], [0.7726, 0.3834, 0.0000]], "space_group": "Pnnm", "n_ef_per_ev_cell": 8.14, "energy_ev_per_atom": -7.452, "m_tot_mub_per_fu": 0.000}

4.
{"formula": "YAg2W", "functional": "PBE", "state": "relaxed", "lattice": [[2.9648, 0.0000, 0.0000], [0.0000, 4.2781, 0.0000], [-0.0300, 0.0000, 6.1404]], "species": ["Y", "Ag", "Ag", "W"], "fractional_positions": [[0.0000, 0.0000, 0.0000], [0.4993, 0.5000, 0.7253], [0.5007, 0.5000, 0.2747], [0.0000, 0.0000, 0.5000]], "e_above_lowest_polymorph_mev_per_atom": 129, "space_group": "P2/m", "n_ef_per_ev_cell": 4.40, "m_tot_mub_per_fu": 0.000}

5.
{"formula": "Pa3Se2S2", "functional": "PBE", "state": "relaxed", "lattice": [[7.6023, 0.0000, 0.0000], [0.0000, 6.8824, 0.0000], [-4.1022, 0.0000, 6.9506]], "species": ["Pa", "Pa", "Pa", "Pa", "Pa", "Pa", "Se", "Se", "Se", "Se", "S", "S", "S", "S"], "fractional_positions": [[0.0000, 0.0000, 0.0000], [0.0000, 0.5000, 0.5000], [0.2645, 0.0139, 0.7381], [0.2645, 0.4861, 0.2381], [0.7355, 0.5139, 0.7619], [0.7355, 0.9861, 0.2619], [0.1401, 0.6730, 0.8713], [0.1401, 0.8270, 0.3713], [0.8599, 0.1730, 0.6287], [0.8599, 0.3270, 0.1287], [0.3657, 0.1714, 0.0939], [0.3657, 0.3286, 0.5939], [0.6343, 0.6714, 0.4061], [0.6343, 0.8286, 0.9061]], "space_group": "P2_1/c", "n_ef_per_ev_cell": 27.18, "e_form_raw_ev_per_fu": -8.82, "m_tot_mub_per_fu": 3.031}

6.
{"formula": "Ce2YSb", "functional": "PBE", "state": "relaxed", "lattice": [[7.7164, 0.0000, 0.0000], [0.0000, 7.7164, 0.0000], [0.0000, 0.0000, 7.7164]], "species": ["Ce", "Ce", "Ce", "Ce", "Ce", "Ce", "Ce", "Ce", "Y", "Y", "Y", "Y", "Sb", "Sb", "Sb", "Sb"], "fractional_positions": [[0.2500, 0.2500, 0.2500], [0.2500, 0.2500, 0.7500], [0.2500, 0.7500, 0.2500], [0.2500, 0.7500, 0.7500], [0.7500, 0.2500, 0.2500], [0.7500, 0.2500, 0.7500], [0.7500, 0.7500, 0.2500], [0.7500, 0.7500, 0.7500], [0.0000, 0.0000, 0.0000], [0.0000, 0.5000, 0.5000], [0.5000, 0.0000, 0.5000], [0.5000, 0.5000, 0.0000], [0.0000, 0.0000, 0.5000], [0.0000, 0.5000, 0.0000], [0.5000, 0.0000, 0.0000], [0.5000, 0.5000, 0.5000]], "e_above_lowest_polymorph_mev_per_atom": 387, "space_group": "Fm-3m", "n_ef_per_ev_cell": 49.08, "e_form_raw_ev_per_fu": -0.84, "m_tot_mub_per_fu": 2.659}

7.
{"formula": "Y3C2Cl2", "functional": "PBE", "state": "relaxed", "lattice": [[3.5734, 0.0000, 0.0000], [1.7746, 6.0281, 0.0000], [0.0053, 1.1977, 7.0201]], "species": ["Y", "Y", "Y", "C", "C", "Cl", "Cl"], "fractional_positions": [[0.0000, 0.0000, 0.0000], [0.2296, 0.5408, 0.7870], [0.7704, 0.4592, 0.2130], [0.3661, 0.2681, 0.0703], [0.6339, 0.7319, 0.9297], [0.1290, 0.7427, 0.3795], [0.8710, 0.2573, 0.6205]], "space_group": "P-1", "n_ef_per_ev_cell": 3.54, "e_form_raw_ev_per_fu": -6.42, "m_tot_mub_per_fu": 0.867}

8.
{"formula": "GaSb2Au2", "functional": "PBE", "state": "relaxed", "lattice": [[7.3189, 0.0000, 0.0000], [0.0000, 7.3189, 0.0000], [0.0000, 0.0000, 4.2517]], "species": ["Ga", "Ga", "Sb", "Sb", "Sb", "Sb", "Au", "Au", "Au", "Au"], "fractional_positions": [[0.0000, 0.0000, 0.0000], [0.5000, 0.5000, 0.0000], [0.1766, 0.3234, 0.5000], [0.3234, 0.8234, 0.5000], [0.6766, 0.1766, 0.5000], [0.8234, 0.6766, 0.5000], [0.1368, 0.6368, 0.0000], [0.3632, 0.1368, 0.0000], [0.6368, 0.8632, 0.0000], [0.8632, 0.3632, 0.0000]], "e_above_lowest_polymorph_mev_per_atom": 100, "space_group": "P4/mbm", "n_ef_per_ev_cell": 4.52, "e_form_raw_ev_per_fu": 0.37, "m_tot_mub_per_fu": 0.000}

9.
{"formula": "TaPbC3", "functional": "PBE", "state": "relaxed", "lattice": [[4.2397, 0.0000, 0.0000], [0.0000, 4.2397, 0.0000], [0.0000, 0.0000, 4.2397]], "species": ["Ta", "Pb", "C", "C", "C"], "fractional_positions": [[0.0000, 0.0000, 0.0000], [0.5000, 0.5000, 0.5000], [0.0000, 0.5000, 0.5000], [0.5000, 0.0000, 0.5000], [0.5000, 0.5000, 0.0000]], "e_above_lowest_polymorph_mev_per_atom": 1834, "space_group": "Pm-3m", "n_ef_per_ev_cell": 4.31, "m_tot_mub_per_fu": 0.000}

10.
{"formula": "IrWCl2", "functional": "PBE", "state": "relaxed", "lattice": [[2.9549, 0.0000, 0.0000], [0.0000, 4.3111, 0.0000], [-0.3697, 0.0000, 5.0770]], "species": ["Ir", "W", "Cl", "Cl"], "fractional_positions": [[0.0000, 0.0000, 0.0000], [0.5000, 0.0000, 0.5000], [0.2827, 0.5000, 0.2578], [0.7173, 0.5000, 0.7422]], "e_above_lowest_polymorph_mev_per_atom": 1004, "space_group": "P2/m", "n_ef_per_ev_cell": 3.65, "e_form_raw_ev_per_fu": 3.28, "m_tot_mub_per_fu": 0.000}

11.
{"formula": "CrFeSe2", "functional": "PBE", "state": "relaxed", "lattice": [[3.5290, 0.0000, 0.0000], [0.0000, 3.5290, 0.0000], [0.0000, 0.0000, 15.0324]], "species": ["Cr", "Cr", "Fe", "Fe", "Se", "Se", "Se", "Se"], "fractional_positions": [[0.0000, 0.0000, 0.0000], [0.5000, 0.5000, 0.5000], [0.0000, 0.5000, 0.7500], [0.5000, 0.0000, 0.2500], [0.0000, 0.0000, 0.5000], [0.0000, 0.5000, 0.2500], [0.5000, 0.0000, 0.7500], [0.5000, 0.5000, 0.0000]], "e_above_lowest_polymorph_mev_per_atom": 399, "space_group": "I-4m2", "n_ef_per_ev_cell": 9.72, "e_form_raw_ev_per_fu": 0.82, "m_tot_mub_per_fu": 7.420}

12.
{"formula": "La3Pm3SmS8", "functional": "PBE", "state": "relaxed", "lattice": [[4.0630, 2.3458, 6.7316], [-4.0630, 2.3458, 6.7316], [0.0000, -4.6916, 6.7316]], "species": ["La", "La", "La", "Pm", "Pm", "Pm", "Sm", "S", "S", "S", "S", "S", "S", "S", "S"], "fractional_positions": [[0.0000, 0.5000, 0.5000], [0.5000, 0.0000, 0.5000], [0.5000, 0.5000, 0.0000], [0.0000, 0.0000, 0.5000], [0.0000, 0.5000, 0.0000], [0.5000, 0.0000, 0.0000], [0.5000, 0.5000, 0.5000], [0.2474, 0.2474, 0.2474], [0.2489, 0.7458, 0.7458], [0.2542, 0.2542, 0.7511], [0.2542, 0.7511, 0.2542], [0.7458, 0.2489, 0.7458], [0.7458, 0.7458, 0.2489], [0.7511, 0.2542, 0.2542], [0.7526, 0.7526, 0.7526]], "space_group": "R-3m", "n_ef_per_ev_cell": 7.62, "e_form_raw_ev_per_fu": -31.60, "m_tot_mub_per_fu": 0.003}

13.
{"formula": "CaMgAu4", "functional": "PBE", "state": "relaxed", "lattice": [[9.6412, 0.0000, 0.0000], [0.0000, 3.6977, 0.0000], [-2.5305, 0.0000, 6.7632]], "species": ["Ca", "Ca", "Mg", "Mg", "Au", "Au", "Au", "Au", "Au", "Au", "Au", "Au"], "fractional_positions": [[0.0000, 0.0000, 0.0000], [0.5000, 0.5000, 0.0000], [0.0000, 0.0000, 0.5000], [0.5000, 0.5000, 0.5000], [0.1601, 0.5000, 0.3478], [0.1630, 0.5000, 0.8030], [0.3370, 0.0000, 0.1970], [0.3398, 0.0000, 0.6522], [0.6602, 0.0000, 0.3478], [0.6630, 0.0000, 0.8030], [0.8370, 0.5000, 0.1970], [0.8398, 0.5000, 0.6522]], "e_above_lowest_polymorph_mev_per_atom": 0, "space_group": "C2/m", "n_ef_per_ev_cell": 3.66, "m_tot_mub_per_fu": 0.000}

14.
{"formula": "Mn6AlC3", "functional": "PBE", "state": "relaxed", "lattice": [[2.5727, 1.4854, 4.5533], [-2.5727, 1.4854, 4.5533], [0.0000, -2.9708, 4.5533]], "species": ["Mn", "Mn", "Mn", "Mn", "Mn", "Mn", "Al", "C", "C", "C"], "fractional_positions": [[0.0019, 0.3234, 0.6748], [0.3081, 0.8287, 0.3680], [0.3234, 0.6748, 0.0019], [0.3680, 0.3081, 0.8287], [0.6748, 0.0019, 0.3234], [0.8287, 0.3680, 0.3081], [0.8411, 0.8411, 0.8411], [0.0771, 0.0771, 0.0771], [0.4020, 0.4020, 0.4020], [0.6014, 0.6014, 0.6014]], "space_group": "R3", "n_ef_per_ev_cell": 8.36, "energy_ev_per_atom": -8.623, "m_tot_mub_per_fu": 9.942}

15.
{"formula": "CsV3Br", "functional": "PBE", "state": "relaxed", "lattice": [[4.9570, 0.0000, 0.0000], [0.0000, 4.9570, 0.0000], [0.0000, 0.0000, 4.9570]], "species": ["Cs", "V", "V", "V", "Br"], "fractional_positions": [[0.0000, 0.0000, 0.0000], [0.0000, 0.5000, 0.5000], [0.5000, 0.0000, 0.5000], [0.5000, 0.5000, 0.0000], [0.5000, 0.5000, 0.5000]], "space_group": "Pm-3m", "n_ef_per_ev_cell": 10.03, "e_form_raw_ev_per_fu": 8.01, "m_tot_mub_per_fu": 8.363}

16.
{"formula": "BeNbAg2Ir", "functional": "PBE", "state": "relaxed", "lattice": [[4.1852, 0.0000, 0.0000], [0.0000, 4.1852, 0.0000], [0.0000, 0.0000, 4.6442]], "species": ["Be", "Nb", "Ag", "Ag", "Ir"], "fractional_positions": [[0.0000, 0.0000, 0.0000], [0.0000, 0.0000, 0.5000], [0.0000, 0.5000, 0.0000], [0.5000, 0.0000, 0.0000], [0.5000, 0.5000, 0.5000]], "space_group": "P4/mmm", "n_ef_per_ev_cell": 6.31, "energy_ev_per_atom": -4.914, "m_tot_mub_per_fu": 0.000}

17.
{"formula": "Ce2CuSn", "functional": "PBE", "state": "relaxed", "lattice": [[4.4449, 0.0000, 0.0000], [0.0000, 4.4449, 0.0000], [0.0000, 0.0000, 4.6699]], "species": ["Ce", "Ce", "Cu", "Sn"], "fractional_positions": [[0.0000, 0.5000, 0.0000], [0.5000, 0.0000, 0.0000], [0.0000, 0.0000, 0.5000], [0.5000, 0.5000, 0.5000]], "space_group": "P4/mmm", "n_ef_per_ev_cell": 7.24, "energy_ev_per_atom": -5.282, "m_tot_mub_per_fu": 0.232}

18.
{"formula": "NaTbPbAu", "functional": "PBE", "state": "relaxed", "lattice": [[7.3407, 0.0000, 0.0000], [0.0000, 7.3407, 0.0000], [0.0000, 0.0000, 7.3407]], "species": ["Na", "Na", "Na", "Na", "Tb", "Tb", "Tb", "Tb", "Pb", "Pb", "Pb", "Pb", "Au", "Au", "Au", "Au"], "fractional_positions": [[0.0000, 0.0000, 0.0000], [0.0000, 0.5000, 0.5000], [0.5000, 0.0000, 0.5000], [0.5000, 0.5000, 0.0000], [0.0000, 0.0000, 0.5000], [0.0000, 0.5000, 0.0000], [0.5000, 0.0000, 0.0000], [0.5000, 0.5000, 0.5000], [0.2500, 0.2500, 0.7500], [0.2500, 0.7500, 0.2500], [0.7500, 0.2500, 0.2500], [0.7500, 0.7500, 0.7500], [0.2500, 0.2500, 0.2500], [0.2500, 0.7500, 0.7500], [0.7500, 0.2500, 0.7500], [0.7500, 0.7500, 0.2500]], "space_group": "F-43m", "n_ef_per_ev_cell": 11.94, "energy_ev_per_atom": -3.663, "m_tot_mub_per_fu": 0.000}

19.
{"formula": "BeCd2Te", "functional": "PBE", "state": "relaxed", "lattice": [[4.1881, 0.0000, 0.0000], [0.0000, 3.7267, 0.0000], [-2.0465, 0.0000, 5.9166]], "species": ["Be", "Cd", "Cd", "Te"], "fractional_positions": [[0.0000, 0.0000, 0.0000], [0.4263, 0.5000, 0.8614], [0.7853, 0.0000, 0.5809], [0.1243, 0.5000, 0.2668]], "e_above_lowest_polymorph_mev_per_atom": 0, "space_group": "Pm", "n_ef_per_ev_cell": 0.87, "e_form_raw_ev_per_fu": 0.66, "m_tot_mub_per_fu": 0.000}

20.
{"formula": "ScSi2Os", "functional": "PBE", "state": "relaxed", "lattice": [[8.5691, 0.0000, 0.0000], [0.0000, 3.1224, 0.0000], [-1.1368, 0.0000, 4.7351]], "species": ["Sc", "Sc", "Si", "Si", "Si", "Si", "Os", "Os"], "fractional_positions": [[0.0000, 0.0000, 0.0000], [0.5000, 0.5000, 0.0000], [0.0081, 0.5000, 0.5077], [0.2654, 0.5000, 0.2925], [0.5081, 0.0000, 0.5077], [0.7654, 0.0000, 0.2925], [0.2409, 0.0000, 0.6605], [0.7409, 0.5000, 0.6605]], "space_group": "Cm", "n_ef_per_ev_cell": 3.78, "e_form_raw_ev_per_fu": -1.37, "m_tot_mub_per_fu": 0.000}

21.
{"formula": "Ac2NdHg3", "functional": "PBE", "state": "relaxed", "lattice": [[3.9753, 0.0000, 0.0000], [0.0000, 3.9753, 0.0000], [0.0000, 0.0000, 11.9500]], "species": ["Ac", "Ac", "Nd", "Hg", "Hg", "Hg"], "fractional_positions": [[0.0000, 0.0000, 0.1733], [0.0000, 0.0000, 0.8267], [0.0000, 0.0000, 0.5000], [0.5000, 0.5000, 0.0000], [0.5000, 0.5000, 0.3500], [0.5000, 0.5000, 0.6500]], "space_group": "P4/mmm", "n_ef_per_ev_cell": 7.27, "energy_ev_per_atom": -2.780, "m_tot_mub_per_fu": 1.000}

22.
{"formula": "BaHf2ZrIr", "functional": "PBE", "state": "relaxed", "lattice": [[5.1965, 0.0000, 0.0000], [0.0000, 5.1965, 0.0000], [0.0000, 0.0000, 5.0119]], "species": ["Ba", "Hf", "Hf", "Zr", "Ir"], "fractional_positions": [[0.0000, 0.0000, 0.0000], [0.0000, 0.5000, 0.0000], [0.5000, 0.0000, 0.0000], [0.5000, 0.5000, 0.5000], [0.0000, 0.0000, 0.5000]], "space_group": "P4/mmm", "n_ef_per_ev_cell": 8.05, "energy_ev_per_atom": -5.856, "m_tot_mub_per_fu": 0.000}

23.
{"formula": "Hf2TiZn2", "functional": "PBE", "state": "relaxed", "lattice": [[7.3668, 0.0000, 0.0000], [0.0000, 7.3668, 0.0000], [0.0000, 0.0000, 3.4129]], "species": ["Hf", "Hf", "Hf", "Hf", "Ti", "Ti", "Zn", "Zn", "Zn", "Zn"], "fractional_positions": [[0.1775, 0.3225, 0.0000], [0.3225, 0.8225, 0.0000], [0.6775, 0.1775, 0.0000], [0.8225, 0.6775, 0.0000], [0.0000, 0.0000, 0.5000], [0.5000, 0.5000, 0.5000], [0.1223, 0.6223, 0.5000], [0.3777, 0.1223, 0.5000], [0.6223, 0.8777, 0.5000], [0.8777, 0.3777, 0.5000]], "e_above_lowest_polymorph_mev_per_atom": 0, "space_group": "P4/mbm", "n_ef_per_ev_cell": 12.36, "m_tot_mub_per_fu": 1.471}

24.
{"formula": "PmMg2MoH8", "functional": "PBE", "state": "relaxed", "lattice": [[-2.3993, 2.3993, 4.7344], [2.3993, -2.3993, 4.7344], [2.3993, 2.3993, -4.7344]], "species": ["Pm", "Mg", "Mg", "Mo", "H", "H", "H", "H", "H", "H", "H", "H"], "fractional_positions": [[0.0000, 0.0000, 0.0000], [0.2500, 0.7500, 0.5000], [0.5000, 0.5000, 0.0000], [0.7500, 0.2500, 0.5000], [0.1052, 0.1355, 0.5235], [0.1052, 0.5817, 0.9697], [0.4183, 0.3880, 0.5235], [0.4183, 0.8948, 0.0303], [0.6120, 0.1355, 0.0303], [0.6120, 0.5817, 0.4765], [0.8645, 0.3880, 0.9697], [0.8645, 0.8948, 0.4765]], "space_group": "I-4m2", "n_ef_per_ev_cell": 3.06, "energy_ev_per_atom": -4.014, "m_tot_mub_per_fu": 0.000}